# 1
VASP calculation (GGA-PBE) on a relaxed structure of LiYAl.

Unit cell a=7.0062 b=8.3006 c=8.9450 alpha=57.40 beta=90.00 gamma=114.96
Last column: nearest neighbours and their distance in Å.
Fractional positions:
1 Y 0.2467 0.4168 0.0416  5 Li 2.91-3.07
2 Y 0.6632 0.0000 0.2500  5 Li 2.92-3.07
3 Y 0.8298 0.5832 0.9584  5 Li 2.91-3.07
4 Y 0.8301 0.5834 0.4583  5 Li 2.92-3.07
5 Y 0.6632 0.0000 0.7500  5 Li 2.92-3.07
6 Y 0.2467 0.4166 0.5417  5 Li 2.92-3.07
7 Li 0.2471 0.0002 0.2499  6 Al 2.75-2.76, 3 Y 2.91-2.92
8 Li 0.9131 0.3332 0.3334  3 Al 2.76-2.77, 6 Y 3.07
9 Li 0.5799 0.6668 0.1666  3 Al 2.76-2.77, 6 Y 3.07
10 Li 0.2469 0.9998 0.7501  6 Al 2.75-2.76, 3 Y 2.91-2.92
11 Li 0.5799 0.6668 0.6666  3 Al 2.76-2.77, 6 Y 3.07
12 Li 0.9131 0.3332 0.8334  3 Al 2.76-2.77, 6 Y 3.07
13 Al 0.4765 0.2300 0.8850  4 Li 2.75-2.77, 2 Al 2.78
14 Al 0.2465 0.7700 0.1150  4 Li 2.75-2.77, 2 Al 2.78
15 Al 0.2465 0.7700 0.6149  4 Li 2.75-2.77, 2 Al 2.78
16 Al 0.0173 0.0000 0.5000  4 Li 2.76-2.77, 2 Al 2.78
17 Al 0.0173 0.0000 0.0000  4 Li 2.76-2.77, 2 Al 2.78
18 Al 0.4765 0.2300 0.3851  4 Li 2.75-2.77, 2 Al 2.78

Summary:
Fermi-level density of states (states/eV/cell): 13.21
Relative energy among the computed polymorphs (meV/atom): 1
Space-group type: Amm2
ΔE_f (meV per atom): -220

---

# 2
VASP calculation (GGA-PBE) on a relaxed structure of LiY4Al2.

Unit cell a=5.1343 b=5.1343 c=8.7471 alpha=72.93 beta=72.93 gamma=60.00
Last column: nearest neighbours and their distance in Å.
Fractional positions:
1 Y 0.3821 0.3821 0.8536  4 Al 3.05-3.14, 3 Li 3.20
2 Y 0.1297 0.1297 0.6109  4 Al 3.10-3.23, 1 Li 3.20
3 Y 0.8703 0.8703 0.3891  4 Al 3.10-3.23, 1 Li 3.20
4 Y 0.6179 0.6179 0.1464  4 Al 3.05-3.14, 3 Li 3.20
5 Al 0.2551 0.2551 0.2347  8 Y 3.05-3.23
6 Al 0.7449 0.7449 0.7653  8 Y 3.05-3.23
7 Li 0.0000 0.0000 0.0000  8 Y 3.20, 6 Al 3.54

Summary:
Fermi-level density of states (states/eV/cell): 9.42
Space-group type: R-3m
ΔE_f (meV per atom): -177

---

# 3
VASP calculation (GGA-PBE) on a relaxed structure of LiY3Al2.

Unit cell a=5.1376 b=5.1376 c=12.6220 alpha=90.00 beta=90.00 gamma=120.00
Last column: nearest neighbours and their distance in Å.
Fractional positions:
1 Y 0.3333 0.6667 0.4157  4 Al 3.07-3.15, 4 Li 3.16-3.21
2 Y 0.0000 0.0000 0.7536  5 Al 3.11-3.20, 3 Li 3.15
3 Y 0.6667 0.3333 0.5843  4 Al 3.07-3.15, 4 Li 3.16-3.21
4 Y 0.3333 0.6667 0.9179  1 Li 3.13, 7 Al 3.14-3.22
5 Y 0.0000 0.0000 0.2464  5 Al 3.11-3.20, 3 Li 3.15
6 Y 0.6667 0.3333 0.0821  1 Li 3.13, 7 Al 3.14-3.22
7 Al 0.0000 0.0000 0.0000  8 Y 3.11-3.14
8 Al 0.6667 0.3333 0.8273  8 Y 3.07-3.22
9 Al 0.3333 0.6667 0.1727  8 Y 3.07-3.22
10 Al 0.0000 0.0000 0.5000  8 Y 3.15-3.20
11 Li 0.6667 0.3333 0.3300  8 Y 3.13-3.21
12 Li 0.3333 0.6667 0.6700  8 Y 3.13-3.21

Summary:
Fermi-level density of states (states/eV/cell): 8.93
Relative energy among the computed polymorphs (meV/atom): 0
Space-group type: P-3m1
ΔE_f (meV per atom): -313

---

# 4
VASP calculation (GGA-PBE) on a relaxed structure of LiYAl.

Unit cell a=6.9125 b=5.2703 c=3.1974 alpha=90.01 beta=90.01 gamma=40.49
Last column: nearest neighbours and their distance in Å.
Fractional positions:
1 Li 0.5000 0.5000 0.0000  4 Al 2.76
2 Al 0.0000 0.0000 0.5000  4 Li 2.76, 4 Y 3.08
3 Y 0.0000 0.5000 0.0000  4 Al 3.08, 2 Y 3.20

Summary:
Fermi-level density of states (states/eV/cell): 2.59
Relative energy among the computed polymorphs (meV/atom): 305
Space-group type: P2/m
ΔE_f (meV per atom): 84

---

# 5
VASP calculation (GGA-PBE) on a relaxed structure of LiY2Al.

Unit cell a=6.1316 b=6.1316 c=6.1316 alpha=145.55 beta=131.25 gamma=61.05
Last column: nearest neighbours and their distance in Å.
Fractional positions:
1 Al 0.4707 0.4707 0.0000  2 Li 2.68
2 Y 0.7339 0.2339 0.5000  4 Li 3.16, 2 Al 3.32, 4 Y 3.45
3 Y 0.0115 0.0115 0.0000  4 Al 3.14, 4 Li 3.40-3.49, 4 Y 3.45
4 Li 0.2839 0.7839 0.5000  2 Al 2.68

Summary:
Fermi-level density of states (states/eV/cell): 4.37
Space-group type: Imm2
ΔE_f (meV per atom): -126

---

# 6
VASP calculation (GGA-PBE) on a relaxed structure of LiY3Al3.

Unit cell a=7.0876 b=7.1126 c=6.7874 alpha=92.25 beta=81.00 gamma=85.56
Last column: nearest neighbours and their distance in Å.
Fractional positions:
1 Al 0.3473 0.3561 0.5217  1 Li 2.53, 2 Al 2.67-2.79
2 Al 0.6527 0.6439 0.4783  1 Li 2.53, 2 Al 2.67-2.79
3 Al 0.7438 0.2724 0.4745  3 Al 2.67-2.79, 1 Li 2.89, 1 Y 2.99
4 Al 0.2562 0.7276 0.5255  3 Al 2.67-2.79, 1 Li 2.89, 1 Y 2.99
5 Al 0.2557 0.7487 0.9343  2 Li 2.72-2.84, 1 Al 2.77
6 Al 0.7443 0.2513 0.0657  2 Li 2.72-2.84, 1 Al 2.77
7 Y 0.9365 0.9080 0.2649  5 Al 3.03-3.30
8 Y 0.0938 0.4143 0.2092  4 Al 3.01-3.25, 1 Li 3.17
9 Y 0.4343 0.0080 0.2532  4 Al 2.98-3.25, 1 Li 3.14
10 Y 0.5657 0.9920 0.7468  4 Al 2.98-3.25, 1 Li 3.14
11 Y 0.9062 0.5857 0.7908  4 Al 3.01-3.25, 1 Li 3.17
12 Y 0.0635 0.0920 0.7351  5 Al 3.03-3.30
13 Li 0.4946 0.4314 0.8294  1 Li 2.49, 2 Al 2.53-2.72
14 Li 0.5054 0.5686 0.1706  1 Li 2.49, 2 Al 2.53-2.72

Summary:
Fermi-level density of states (states/eV/cell): 10.84
Space-group type: P-1
ΔE_f (meV per atom): -227

---

# 7
VASP calculation (GGA-PBE) on a relaxed structure of LiY3Al2.

Unit cell a=3.5893 b=3.5893 c=11.2910 alpha=90.00 beta=90.00 gamma=90.00
Last column: nearest neighbours and their distance in Å.
Fractional positions:
1 Al 0.5000 0.5000 0.1652  8 Y 3.08-3.15
2 Al 0.5000 0.5000 0.8348  8 Y 3.08-3.15
3 Y 0.0000 0.0000 0.0000  8 Al 3.15
4 Y 0.0000 0.0000 0.3204  4 Al 3.08, 4 Li 3.25
5 Y 0.0000 0.0000 0.6796  4 Al 3.08, 4 Li 3.25
6 Li 0.5000 0.5000 0.5000  8 Y 3.25, 4 Li 3.59

Summary:
Fermi-level density of states (states/eV/cell): 2.52
Relative energy among the computed polymorphs (meV/atom): 34
Space-group type: P4/mmm
ΔE_f (meV per atom): -279

---

# 8
VASP calculation (GGA-PBE) on a relaxed structure of Li2Y3Al9.

Unit cell a=4.3500 b=8.2942 c=8.2942 alpha=73.15 beta=74.80 gamma=74.80
Last column: nearest neighbours and their distance in Å.
Fractional positions:
1 Y 0.0000 0.0000 0.0000  12 Al 3.20-3.25
2 Y 0.6954 0.3046 0.3046  2 Li 3.11, 12 Al 3.17-3.49
3 Y 0.3046 0.6954 0.6954  2 Li 3.11, 12 Al 3.17-3.49
4 Al 0.8642 0.4156 0.8561  4 Al 2.63-2.78, 2 Li 2.78
5 Al 0.1358 0.5844 0.1439  4 Al 2.63-2.78, 2 Li 2.78
6 Al 0.1358 0.1439 0.5844  4 Al 2.63-2.78, 2 Li 2.78
7 Al 0.0000 0.5000 0.5000  4 Al 2.77, 4 Li 2.89
8 Al 0.3454 0.2874 0.0218  1 Li 2.60, 4 Al 2.63-2.78
9 Al 0.8642 0.8561 0.4156  4 Al 2.63-2.78, 2 Li 2.78
10 Al 0.3454 0.0218 0.2874  1 Li 2.60, 4 Al 2.63-2.78
11 Al 0.6546 0.9782 0.7126  1 Li 2.60, 4 Al 2.63-2.78
12 Al 0.6546 0.7126 0.9782  1 Li 2.60, 4 Al 2.63-2.78
13 Li 0.5000 0.6932 0.3068  8 Al 2.60-2.89
14 Li 0.5000 0.3068 0.6932  8 Al 2.60-2.89

Summary:
Fermi-level density of states (states/eV/cell): 6.32
Space-group type: Immm
ΔE_f (meV per atom): -370

---

# 9
VASP calculation (GGA-PBE) on a relaxed structure of LiY3Al.

Unit cell a=5.6080 b=5.6080 c=5.6080 alpha=90.00 beta=90.00 gamma=90.00
Last column: nearest neighbours and their distance in Å.
Fractional positions:
1 Y 0.5000 0.0000 0.0000  2 Al 2.80
2 Y 0.0000 0.0000 0.5000  2 Al 2.80
3 Y 0.0000 0.5000 0.0000  2 Al 2.80
4 Li 0.5000 0.5000 0.5000  12 Y 3.97
5 Al 0.0000 0.0000 0.0000  6 Y 2.80

Summary:
Fermi-level density of states (states/eV/cell): 9.74
Relative energy among the computed polymorphs (meV/atom): 523
Space-group type: Pm-3m
ΔE_f (meV per atom): 349

---

# 10
VASP calculation (GGA-PBE) on a relaxed structure of LiY2Al.

Unit cell a=8.0905 b=8.0905 c=6.4856 alpha=51.41 beta=51.41 gamma=90.00
Last column: nearest neighbours and their distance in Å.
Fractional positions:
1 Al 0.0000 0.0000 0.0000  4 Y 3.02, 2 Li 3.06
2 Al 0.7500 0.2500 0.5000  4 Y 3.02, 2 Li 3.06
3 Y 0.6145 0.1250 0.2500  2 Li 2.90, 2 Al 3.02, 2 Y 3.06
4 Y 0.8750 0.8645 0.7500  2 Li 2.90, 2 Al 3.02, 2 Y 3.06
5 Y 0.3750 0.3855 0.7500  2 Li 2.90, 2 Al 3.02, 2 Y 3.06
6 Y 0.1355 0.6250 0.2500  2 Li 2.90, 2 Al 3.02, 2 Y 3.06
7 Li 0.2500 0.7500 0.5000  4 Y 2.90, 2 Al 3.06
8 Li 0.5000 0.5000 0.0000  4 Y 2.90, 2 Al 3.06

Summary:
Fermi-level density of states (states/eV/cell): 6.56
Space-group type: I-42d
ΔE_f (meV per atom): 185

---

# 11
VASP calculation (GGA-PBE) on a relaxed structure of LiY2Al.

Unit cell a=5.1962 b=5.1962 c=5.1962 alpha=60.00 beta=60.00 gamma=60.00
Last column: nearest neighbours and their distance in Å.
Fractional positions:
1 Li 0.7500 0.7500 0.7500  4 Al 3.18, 4 Y 3.18
2 Y 0.0000 0.0000 0.0000  4 Y 3.18, 4 Li 3.18
3 Y 0.2500 0.2500 0.2500  4 Al 3.18, 4 Y 3.18
4 Al 0.5000 0.5000 0.5000  4 Li 3.18, 4 Y 3.18

Summary:
Fermi-level density of states (states/eV/cell): 4.93
Space-group type: F-43m
ΔE_f (meV per atom): 94

---

# 12
VASP calculation (GGA-PBE) on a relaxed structure of LiY2Al.

Unit cell a=5.8598 b=5.8598 c=5.8598 alpha=135.53 beta=135.53 gamma=64.72
Last column: nearest neighbours and their distance in Å.
Fractional positions:
1 Li 0.7500 0.2500 0.5000  8 Y 3.14-3.32, 4 Al 3.32
2 Y 0.0000 0.0000 0.0000  4 Al 3.14, 4 Y 3.32, 4 Li 3.32
3 Y 0.2500 0.7500 0.5000  4 Li 3.14, 4 Y 3.32, 4 Al 3.32
4 Al 0.5000 0.5000 0.0000  8 Y 3.14-3.32, 4 Li 3.32

Summary:
Fermi-level density of states (states/eV/cell): 2.47
Space-group type: I-4m2
ΔE_f (meV per atom): -66